This record from OQMD describes Sm3Mg3GaHg2 after structural relaxation. The functional is GGA-PBE.

POSCAR file:
```
Sm3Mg3GaHg2
1.0
7.8201 0.0000 0.0000
-3.9100 6.7724 0.0000
0.0000 0.0000 4.2807
Sm Mg Ga Hg
3 3 1 2
direct
0.0000 0.5944 0.0000 Sm
0.4056 0.4056 0.0000 Sm
0.5944 0.0000 0.0000 Sm
0.0000 0.2400 0.5000 Mg
0.2400 0.0000 0.5000 Mg
0.7600 0.7600 0.5000 Mg
0.0000 0.0000 0.0000 Ga
0.3333 0.6667 0.5000 Hg
0.6667 0.3333 0.5000 Hg
```

The symmetry is P-62m. The crystal system is hexagonal. For the theoretical density, the calculation gives 7.3 g cm⁻³. The size of the total moment comes out at 0.0021 μB per atom. For the uncorrected energy, the calculation gives -2.90 eV per atom.

This record from OQMD describes SrMg2GaHg after structural relaxation. The functional is GGA-PBE.

POSCAR file:
```
SrMg2GaHg
1.0
4.5614 0.0000 0.0000
0.0000 4.5614 0.0000
0.0000 0.0000 12.3620
Sr Mg Ga Hg
2 4 2 2
direct
0.0000 0.0000 0.0000 Sr
0.5000 0.5000 0.5000 Sr
0.0000 0.5000 0.2586 Mg
0.0000 0.5000 0.7586 Mg
0.5000 0.0000 0.2586 Mg
0.5000 0.0000 0.7586 Mg
0.0000 0.0000 0.3912 Ga
0.5000 0.5000 0.8912 Ga
0.0000 0.0000 0.6127 Hg
0.5000 0.5000 0.1127 Hg
```

The symmetry is I4mm. The crystal system is tetragonal. For the theoretical density, the calculation gives 5.2 g cm⁻³. For the uncorrected energy, the calculation gives -1.97 eV per atom.

This record from OQMD describes Tm3Mg3TlGaHg after structural relaxation. The functional is GGA-PBE.

POSCAR file:
```
Tm3Mg3TlGaHg
1.0
7.4115 0.0000 0.0000
-3.7057 6.4185 0.0000
0.0000 0.0000 4.4570
Tm Mg Tl Ga Hg
3 3 1 1 1
direct
0.0983 0.7516 0.0000 Tm
0.2484 0.3467 0.0000 Tm
0.6533 0.9017 0.0000 Tm
0.4263 0.0849 0.5000 Mg
0.6586 0.5737 0.5000 Mg
0.9151 0.3414 0.5000 Mg
0.0000 0.0000 0.5000 Tl
0.3333 0.6667 0.5000 Ga
0.6667 0.3333 0.0000 Hg
```

The symmetry is P-6. The crystal system is hexagonal. For the theoretical density, the calculation gives 8.3 g cm⁻³. The size of the total moment comes out at 0.0003 μB per atom. For the uncorrected energy, the calculation gives -3.04 eV per atom.

This record from OQMD describes Tm3Mg3Ga2Hg after structural relaxation. The functional is GGA-PBE.

POSCAR file:
```
Tm3Mg3Ga2Hg
1.0
7.2875 0.0000 0.0000
-3.6437 6.3111 0.0000
0.0000 0.0000 4.3955
Tm Mg Ga Hg
3 3 2 1
direct
0.0000 0.5728 0.0000 Tm
0.4272 0.4272 0.0000 Tm
0.5728 0.0000 0.0000 Tm
0.0000 0.2494 0.5000 Mg
0.2494 0.0000 0.5000 Mg
0.7506 0.7506 0.5000 Mg
0.3333 0.6667 0.5000 Ga
0.6667 0.3333 0.5000 Ga
0.0000 0.0000 0.0000 Hg
```

The symmetry is P-62m. The crystal system is hexagonal. For the theoretical density, the calculation gives 7.6 g cm⁻³. The size of the total moment comes out at 0.0003 μB per atom. For the uncorrected energy, the calculation gives -3.18 eV per atom.

This record from OQMD describes Tm3Mg3GaHg2 after structural relaxation. The functional is GGA-PBE.

POSCAR file:
```
Tm3Mg3GaHg2
1.0
7.6895 0.0000 0.0000
-3.8448 6.6593 0.0000
0.0000 0.0000 4.0993
Tm Mg Ga Hg
3 3 1 2
direct
0.0000 0.5927 0.0000 Tm
0.4073 0.4073 0.0000 Tm
0.5927 0.0000 0.0000 Tm
0.0000 0.2445 0.5000 Mg
0.2445 0.0000 0.5000 Mg
0.7555 0.7555 0.5000 Mg
0.0000 0.0000 0.0000 Ga
0.3333 0.6667 0.5000 Hg
0.6667 0.3333 0.5000 Hg
```

The symmetry is P-62m. The crystal system is hexagonal. For the theoretical density, the calculation gives 8.3 g cm⁻³. The size of the total moment comes out at 0.0001 μB per atom. For the uncorrected energy, the calculation gives -2.81 eV per atom.

This record from OQMD describes GaHgNO after structural relaxation. The functional is GGA-PBE.

POSCAR file:
```
GaHgNO
1.0
4.1330 0.0000 0.0000
0.0000 4.1330 0.0000
0.0000 0.0000 6.7587
Ga Hg N O
2 2 2 2
direct
0.2500 0.7500 0.0000 Ga
0.7500 0.2500 0.0000 Ga
0.2500 0.2500 0.3626 Hg
0.7500 0.7500 0.6374 Hg
0.2500 0.2500 0.0050 N
0.7500 0.7500 0.9950 N
0.2500 0.7500 0.5000 O
0.7500 0.2500 0.5000 O
```

The symmetry is P4/nmm. The crystal system is tetragonal. For the energy above the lowest structure with this stoichiometry, the calculation gives 56.5 kJ/mol of atoms. For the theoretical density, the calculation gives 8.6 g cm⁻³. For the uncorrected energy, the calculation gives -3.95 eV per atom.

This record from OQMD describes GaHgNO after structural relaxation. The functional is GGA-PBE.

POSCAR file:
```
GaHgNO
1.0
3.3155 0.0000 0.0000
0.0000 6.1576 0.0000
0.0000 0.0000 5.6907
Ga Hg N O
2 2 2 2
direct
0.0000 0.1431 0.0000 Ga
0.0000 0.8569 0.5000 Ga
0.5000 0.3311 0.4784 Hg
0.5000 0.6689 0.9784 Hg
0.0000 0.1237 0.3338 N
0.0000 0.8763 0.8338 N
0.5000 0.2967 0.9146 O
0.5000 0.7033 0.4146 O
```

The symmetry is Pmc2_1. The crystal system is orthorhombic. For the energy above the lowest structure with this stoichiometry, the calculation gives 7.9 kJ/mol of atoms. For the theoretical density, the calculation gives 8.6 g cm⁻³. For the uncorrected energy, the calculation gives -4.46 eV per atom.

This record from OQMD describes GaHgNO after structural relaxation. The functional is GGA-PBE.

POSCAR file:
```
GaHgNO
1.0
4.0244 0.0000 0.0000
0.0000 4.0244 0.0000
0.0000 0.0000 7.4088
Ga Hg N O
2 2 2 2
direct
0.2500 0.2500 0.0895 Ga
0.7500 0.7500 0.9105 Ga
0.2500 0.7500 0.5000 Hg
0.7500 0.2500 0.5000 Hg
0.2500 0.2500 0.3398 N
0.7500 0.7500 0.6602 N
0.2500 0.7500 0.0000 O
0.7500 0.2500 0.0000 O
```

The symmetry is P4/nmm. The crystal system is tetragonal. For the energy above the lowest structure with this stoichiometry, the calculation gives 26.6 kJ/mol of atoms. For the theoretical density, the calculation gives 8.3 g cm⁻³. For the uncorrected energy, the calculation gives -4.26 eV per atom.

This record from OQMD describes GaHgNO after structural relaxation. The functional is GGA-PBE.

POSCAR file:
```
GaHgNO
1.0
3.2944 0.0000 0.0000
0.0000 6.1481 0.0000
0.0000 0.0000 5.6408
Ga Hg N O
2 2 2 2
direct
0.0000 0.1489 0.0000 Ga
0.0000 0.8511 0.5000 Ga
0.5000 0.3650 0.5280 Hg
0.5000 0.6350 0.0280 Hg
0.5000 0.2889 0.9119 N
0.5000 0.7111 0.4119 N
0.0000 0.1217 0.3369 O
0.0000 0.8783 0.8369 O
```

The symmetry is Pmc2_1. The crystal system is orthorhombic. For the energy above the lowest structure with this stoichiometry, the calculation gives 0.0 kJ/mol of atoms. For the theoretical density, the calculation gives 8.7 g cm⁻³. For the uncorrected energy, the calculation gives -4.54 eV per atom.

This record from OQMD describes GaHgNO after structural relaxation. The functional is GGA-PBE.

POSCAR file:
```
GaHgNO
1.0
5.8234 0.0000 0.0000
0.0000 7.0987 0.0000
0.0000 0.0000 5.4177
Ga Hg N O
4 4 4 4
direct
0.0936 0.1053 0.0000 Ga
0.4064 0.1053 0.5000 Ga
0.5936 0.8947 0.0000 Ga
0.9064 0.8947 0.5000 Ga
0.0517 0.6443 0.0354 Hg
0.4483 0.6443 0.5354 Hg
0.5517 0.3557 0.0354 Hg
0.9483 0.3557 0.5354 Hg
0.1024 0.0862 0.6424 N
0.3976 0.0862 0.1424 N
0.6024 0.9138 0.6424 N
0.8976 0.9138 0.1424 N
0.0364 0.6576 0.5788 O
0.4636 0.6576 0.0788 O
0.5364 0.3424 0.5788 O
0.9636 0.3424 0.0788 O
```

The symmetry is Pca2_1. The crystal system is orthorhombic. For the energy above the lowest structure with this stoichiometry, the calculation gives 0.4 kJ/mol of atoms. For the theoretical density, the calculation gives 8.9 g cm⁻³. For the uncorrected energy, the calculation gives -4.53 eV per atom.

Q: The highest theoretical density belongs to which entry?
A: number 10

Q: Which formula does entry 3 have?
A: Tm3Mg3TlGaHg